Density functional theory data (PBE) for a relaxed PuHg6Au crystal.

Results
**Space group**: Amm2, No. 38
**Formation enthalpy at 0 K**: -30 meV/atom
**Raw total energy**: -39.3 eV/cell

Unit cell a=5.022 b=6.187 c=12.912 alpha=90.00 beta=90.00 gamma=90.00
Fractional coordinates of all 16 atoms:
Pu (0.000, 0.000, 0.000)
Pu (0.000, 0.500, 0.500)
Hg (0.000, 0.239, 0.733)
Hg (0.000, 0.261, 0.233)
Hg (0.000, 0.739, 0.233)
Hg (0.000, 0.761, 0.733)
Hg (0.500, 0.000, 0.153)
Hg (0.500, 0.000, 0.602)
Hg (0.500, 0.245, 0.887)
Hg (0.500, 0.255, 0.387)
Hg (0.500, 0.500, 0.102)
Hg (0.500, 0.500, 0.653)
Hg (0.500, 0.745, 0.387)
Hg (0.500, 0.755, 0.887)
Au (0.000, 0.000, 0.438)
Au (0.000, 0.500, 0.938)